# 1
The following is a PBE calculation of Ca2HgBi after structural relaxation, from Alexandria.

Unit cell a=10.400 b=10.400 c=10.400 alpha=148.23 beta=148.23 gamma=45.54
Positions (direct):
1 Ca 0.124 0.625 0.999
2 Ca 0.375 0.374 0.499
3 Ca 0.626 0.125 0.001
4 Ca 0.875 0.876 0.501
5 Hg 0.000 0.000 0.000
6 Hg 0.750 0.250 0.500
7 Bi 0.250 0.750 0.500
8 Bi 0.500 0.500 0.000

Computed properties:
Electronic total energy in eV per atom: -2.33
Symmetry: I-42d

=====

# 2
The following is a PBE calculation of CaHgBi2 after structural relaxation, from Alexandria.

Unit cell a=4.756 b=4.756 c=5.239 alpha=90.00 beta=90.00 gamma=90.00
Positions (direct):
1 Ca 0.000 0.000 0.000
2 Hg 0.500 0.500 0.000
3 Bi 0.000 0.500 0.500
4 Bi 0.500 0.000 0.500

Computed properties:
Electronic total energy in eV per atom: -2.92
Symmetry: P4/mmm